(1)
# SrRe2Cl (PBE, relaxed)
data_SrRe2Cl
_chemical_formula_sum 'Sr1 Re2 Cl1'
_symmetry_space_group_name_H-M 'P m m m'
_symmetry_Int_Tables_number 47
_cell_length_a 2.9000
_cell_length_b 5.4030
_cell_length_c 5.7347
_cell_angle_alpha 90.00
_cell_angle_beta 90.00
_cell_angle_gamma 90.00
loop_
_symmetry_equiv_pos_as_xyz
'x,y,z'
'-x,-y,-z'
'-x,-y,z'
'x,y,-z'
'x,-y,-z'
'-x,y,z'
'-x,y,-z'
'x,-y,z'
loop_
_atom_site_label
_atom_site_type_symbol
_atom_site_fract_x
_atom_site_fract_y
_atom_site_fract_z
Sr1 Sr 0.0000 0.0000 0.0000
Re1 Re 0.5000 0.2086 0.5000
Cl1 Cl 0.0000 0.5000 0.0000
# **Offset from the most stable computed form**: 934 meV/atom
# **Uncorrected formation energy**: 916 meV/atom
# **Crystal system**: orthorhombic

(2)
# Ce3ErPu2P6 (PBE, relaxed)
data_Ce3ErPu2P6
_chemical_formula_sum 'Ce6 Er2 Pu4 P12'
_symmetry_space_group_name_H-M 'C 1 2/m 1'
_symmetry_Int_Tables_number 12
_cell_length_a 7.0001
_cell_length_b 12.1258
_cell_length_c 6.9789
_cell_angle_alpha 90.00
_cell_angle_beta 109.54
_cell_angle_gamma 90.00
loop_
_symmetry_equiv_pos_as_xyz
'x,y,z'
'-x,-y,-z'
'-x,y,-z'
'x,-y,z'
'x+1/2,y+1/2,z'
'-x+1/2,-y+1/2,-z'
'-x+1/2,y+1/2,-z'
'x+1/2,-y+1/2,z'
loop_
_atom_site_label
_atom_site_type_symbol
_atom_site_fract_x
_atom_site_fract_y
_atom_site_fract_z
Ce1 Ce 0.0000 0.0000 0.0000
Ce2 Ce 0.0000 0.3338 0.0000
Er1 Er 0.0000 0.5000 0.5000
Pu1 Pu 0.0000 0.1667 0.5000
P1 P 0.2470 0.0000 0.7435
P2 P 0.2482 0.3329 0.7434
# **Formation energy**: -1.405 eV per atom
# **Crystal system**: monoclinic

(3)
# MgTl3In2S6 (PBE, relaxed)
data_MgTl3In2S6
_chemical_formula_sum 'Mg2 Tl6 In4 S12'
_symmetry_space_group_name_H-M 'C 1 2/m 1'
_symmetry_Int_Tables_number 12
_cell_length_a 6.7845
_cell_length_b 11.7572
_cell_length_c 7.4667
_cell_angle_alpha 90.00
_cell_angle_beta 107.74
_cell_angle_gamma 90.00
loop_
_symmetry_equiv_pos_as_xyz
'x,y,z'
'-x,-y,-z'
'-x,y,-z'
'x,-y,z'
'x+1/2,y+1/2,z'
'-x+1/2,-y+1/2,-z'
'-x+1/2,y+1/2,-z'
'x+1/2,-y+1/2,z'
loop_
_atom_site_label
_atom_site_type_symbol
_atom_site_fract_x
_atom_site_fract_y
_atom_site_fract_z
Mg1 Mg 0.0000 0.0000 0.0000
Tl1 Tl 0.0000 0.1660 0.5000
Tl2 Tl 0.0000 0.5000 0.5000
In1 In 0.0000 0.3333 0.0000
S1 S 0.2325 0.1659 0.1999
S2 S 0.2355 0.5000 0.1978
# **Uncorrected formation energy**: -584 meV/atom
# **Crystal system**: monoclinic

(4)
# Rb2SrInCl6 (PBE, relaxed)
data_Rb2SrInCl6
_chemical_formula_sum 'Rb8 Sr4 In4 Cl24'
_symmetry_space_group_name_H-M 'F m -3 m'
_symmetry_Int_Tables_number 225
_symmetry_space_group_name_Hall '-F 4 2 3'
_cell_length_a 11.1907
_cell_length_b 11.1907
_cell_length_c 11.1907
_cell_angle_alpha 90.00
_cell_angle_beta 90.00
_cell_angle_gamma 90.00
loop_
_atom_site_label
_atom_site_type_symbol
_atom_site_fract_x
_atom_site_fract_y
_atom_site_fract_z
Rb1 Rb 0.2500 0.2500 0.2500
Sr1 Sr 0.0000 0.0000 0.0000
In1 In 0.0000 0.0000 0.5000
Cl1 Cl 0.0000 0.0000 0.2545
# **Uncorrected formation energy**: -1745 meV/atom
# **Crystal system**: cubic

(5)
# DyErTmPa (PBE, relaxed)
data_DyErTmPa
_chemical_formula_sum 'Dy4 Er4 Tm4 Pa4'
_symmetry_space_group_name_H-M 'F -4 3 m'
_symmetry_Int_Tables_number 216
_symmetry_space_group_name_Hall 'F -4 2 3'
_cell_length_a 7.8009
_cell_length_b 7.8009
_cell_length_c 7.8009
_cell_angle_alpha 90.00
_cell_angle_beta 90.00
_cell_angle_gamma 90.00
loop_
_atom_site_label
_atom_site_type_symbol
_atom_site_fract_x
_atom_site_fract_y
_atom_site_fract_z
Dy1 Dy 0.0000 0.0000 0.0000
Er1 Er 0.0000 0.0000 0.5000
Tm1 Tm 0.2500 0.2500 0.7500
Pa1 Pa 0.2500 0.2500 0.2500
# **Formation energy**: 0.344 eV per atom
# **Crystal system**: cubic

(6)
# BeAgW2 (PBE, relaxed)
data_BeAgW2
_chemical_formula_sum 'Be2 Ag2 W4'
_symmetry_space_group_name_H-M 'C m m m'
_symmetry_Int_Tables_number 65
_symmetry_space_group_name_Hall '-C 2 2'
_cell_length_a 3.8463
_cell_length_b 3.8658
_cell_length_c 7.7609
_cell_angle_alpha 90.00
_cell_angle_beta 90.00
_cell_angle_gamma 90.00
loop_
_atom_site_label
_atom_site_type_symbol
_atom_site_fract_x
_atom_site_fract_y
_atom_site_fract_z
Be1 Be 0.0000 0.0000 0.0000
Ag1 Ag 0.0000 0.0000 0.5000
W1 W 0.0000 0.5000 0.2071
# **Formation energy**: 0.377 eV per atom
# **Crystal system**: orthorhombic

(7)
# Ba2CaIn3Hg4 (PBE, relaxed)
data_Ba2CaIn3Hg4
_chemical_formula_sum 'Ba2 Ca1 In3 Hg4'
_symmetry_space_group_name_H-M 'P -4 m 2'
_symmetry_Int_Tables_number 115
_cell_length_a 4.9986
_cell_length_b 4.9986
_cell_length_c 12.5654
_cell_angle_alpha 90.00
_cell_angle_beta 90.00
_cell_angle_gamma 90.00
loop_
_symmetry_equiv_pos_as_xyz
'x,y,z'
'y,-x,-z'
'-x,-y,z'
'-y,x,-z'
'-x,y,z'
'-y,-x,-z'
'x,-y,z'
'y,x,-z'
loop_
_atom_site_label
_atom_site_type_symbol
_atom_site_fract_x
_atom_site_fract_y
_atom_site_fract_z
Ba1 Ba 0.0000 0.5000 0.2255
Ca1 Ca 0.0000 0.0000 0.5000
In1 In 0.0000 0.5000 0.8734
In2 In 0.5000 0.5000 0.5000
Hg1 Hg 0.0000 0.0000 0.0000
Hg2 Hg 0.0000 0.5000 0.6454
Hg3 Hg 0.5000 0.5000 0.0000
# **Formation energy**: -0.397 eV per atom
# **Crystal system**: tetragonal

(8)
# HgAsP2 (PBE, relaxed)
data_HgAsP2
_chemical_formula_sum 'Hg1 As1 P2'
_symmetry_space_group_name_H-M 'P 1 2/m 1'
_symmetry_Int_Tables_number 10
_cell_length_a 3.5847
_cell_length_b 4.7063
_cell_length_c 5.4906
_cell_angle_alpha 90.00
_cell_angle_beta 105.91
_cell_angle_gamma 90.00
loop_
_symmetry_equiv_pos_as_xyz
'x,y,z'
'-x,-y,-z'
'-x,y,-z'
'x,-y,z'
loop_
_atom_site_label
_atom_site_type_symbol
_atom_site_fract_x
_atom_site_fract_y
_atom_site_fract_z
Hg1 Hg 0.0000 0.0000 0.0000
As1 As 0.5000 0.0000 0.5000
P1 P 0.2956 0.5000 0.6333
# **Formation energy**: 0.278 eV per atom
# **Offset from the most stable computed form**: 99 meV/atom
# **Crystal system**: monoclinic

(9)
# Pr4Dy7Er (PBE, relaxed)
data_Pr4Dy7Er
_chemical_formula_sum 'Pr4 Dy7 Er1'
_symmetry_space_group_name_H-M 'P -1'
_symmetry_Int_Tables_number 2
_cell_length_a 6.5760
_cell_length_b 6.8722
_cell_length_c 9.1417
_cell_angle_alpha 85.03
_cell_angle_beta 77.34
_cell_angle_gamma 82.02
loop_
_symmetry_equiv_pos_as_xyz
'x,y,z'
'-x,-y,-z'
loop_
_atom_site_label
_atom_site_type_symbol
_atom_site_fract_x
_atom_site_fract_y
_atom_site_fract_z
Pr1 Pr 0.1406 0.3117 0.2830
Pr2 Pr 0.3367 0.8844 0.6945
Dy1 Dy 0.0104 0.2536 0.9503
Dy2 Dy 0.1805 0.8028 0.3589
Dy3 Dy 0.3135 0.3940 0.6180
Dy4 Dy 0.5000 0.0000 0.0000
Er1 Er 0.5000 0.5000 0.0000
# **Formation energy**: 0.090 eV per atom
# **Offset from the most stable computed form**: 0 meV/atom
# **Crystal system**: triclinic

(10)
# PrGeO3 (PBE, relaxed)
data_PrGeO3
_chemical_formula_sum 'Pr4 Ge4 O12'
_symmetry_space_group_name_H-M 'P 1 21/c 1'
_symmetry_Int_Tables_number 14
_cell_length_a 6.5240
_cell_length_b 3.8811
_cell_length_c 11.9492
_cell_angle_alpha 90.00
_cell_angle_beta 111.84
_cell_angle_gamma 90.00
loop_
_symmetry_equiv_pos_as_xyz
'x,y,z'
'-x,-y,-z'
'-x,y+1/2,-z+1/2'
'x,-y+1/2,z+1/2'
loop_
_atom_site_label
_atom_site_type_symbol
_atom_site_fract_x
_atom_site_fract_y
_atom_site_fract_z
Pr1 Pr 0.1913 0.2358 0.1603
Ge1 Ge 0.3260 0.5995 0.9273
O1 O 0.1029 0.1730 0.3387
O2 O 0.1878 0.7273 0.5205
O3 O 0.3988 0.7208 0.3073
# **Uncorrected formation energy**: -2427 meV/atom
# **Crystal system**: monoclinic

(11)
# PuAlGaRu (PBE, relaxed)
data_PuAlGaRu
_chemical_formula_sum 'Pu3 Al3 Ga3 Ru3'
_symmetry_space_group_name_H-M 'R 3 m'
_symmetry_Int_Tables_number 160
_symmetry_space_group_name_Hall 'R 3 -2"'
_cell_length_a 4.3093
_cell_length_b 4.3093
_cell_length_c 14.4535
_cell_angle_alpha 90.00
_cell_angle_beta 90.00
_cell_angle_gamma 120.00
loop_
_atom_site_label
_atom_site_type_symbol
_atom_site_fract_x
_atom_site_fract_y
_atom_site_fract_z
Pu1 Pu 0.0000 0.0000 0.0000
Al1 Al 0.0000 0.0000 0.7885
Ga1 Ga 0.0000 0.0000 0.2122
Ru1 Ru 0.0000 0.0000 0.4517
# **Formation energy**: -0.252 eV per atom
# **Crystal system**: trigonal

(12)
# SiSnS3 (PBE, relaxed)
data_SiSnS3
_chemical_formula_sum 'Si1 Sn1 S3'
_symmetry_space_group_name_H-M 'P m -3 m'
_symmetry_Int_Tables_number 221
_symmetry_space_group_name_Hall '-P 4 2 3'
_cell_length_a 4.5909
_cell_length_b 4.5909
_cell_length_c 4.5909
_cell_angle_alpha 90.00
_cell_angle_beta 90.00
_cell_angle_gamma 90.00
loop_
_atom_site_label
_atom_site_type_symbol
_atom_site_fract_x
_atom_site_fract_y
_atom_site_fract_z
Si1 Si 0.0000 0.0000 0.0000
Sn1 Sn 0.5000 0.5000 0.5000
S1 S 0.0000 0.0000 0.5000
# **Uncorrected formation energy**: -74 meV/atom
# **Crystal system**: cubic

(13)
# SrNb3O8 (PBE, relaxed)
data_SrNb3O8
_chemical_formula_sum 'Sr2 Nb6 O16'
_symmetry_space_group_name_H-M 'C 1 m 1'
_symmetry_Int_Tables_number 8
_cell_length_a 13.4777
_cell_length_b 3.9489
_cell_length_c 7.4228
_cell_angle_alpha 90.00
_cell_angle_beta 106.44
_cell_angle_gamma 90.00
loop_
_symmetry_equiv_pos_as_xyz
'x,y,z'
'x,-y,z'
'x+1/2,y+1/2,z'
'x+1/2,-y+1/2,z'
loop_
_atom_site_label
_atom_site_type_symbol
_atom_site_fract_x
_atom_site_fract_y
_atom_site_fract_z
Sr1 Sr 0.0000 0.0000 0.0000
Nb1 Nb 0.0833 0.0000 0.5818
Nb2 Nb 0.2956 0.0000 0.0346
Nb3 Nb 0.3723 0.0000 0.5809
O1 O 0.0437 0.0000 0.3307
O2 O 0.0440 0.5000 0.6221
O3 O 0.1552 0.0000 0.9056
O4 O 0.2321 0.0000 0.5977
O5 O 0.3147 0.5000 0.0436
O6 O 0.3311 0.0000 0.3115
O7 O 0.4032 0.0000 0.8946
O8 O 0.4224 0.5000 0.6207
# **Offset from the most stable computed form**: 0 meV/atom
# **Uncorrected formation energy**: -2587 meV/atom
# **Crystal system**: monoclinic

(14)
# AlCrIrRh (PBE, relaxed)
data_AlCrIrRh
_chemical_formula_sum 'Al4 Cr4 Ir4 Rh4'
_symmetry_space_group_name_H-M 'F -4 3 m'
_symmetry_Int_Tables_number 216
_symmetry_space_group_name_Hall 'F -4 2 3'
_cell_length_a 6.0523
_cell_length_b 6.0523
_cell_length_c 6.0523
_cell_angle_alpha 90.00
_cell_angle_beta 90.00
_cell_angle_gamma 90.00
loop_
_atom_site_label
_atom_site_type_symbol
_atom_site_fract_x
_atom_site_fract_y
_atom_site_fract_z
Al1 Al 0.0000 0.0000 0.0000
Cr1 Cr 0.0000 0.0000 0.5000
Ir1 Ir 0.2500 0.2500 0.2500
Rh1 Rh 0.2500 0.2500 0.7500
# **Formation energy**: -0.515 eV per atom
# **Crystal system**: cubic

(15)
# Tb2PuRhO8 (PBE, relaxed)
data_Tb2PuRhO8
_chemical_formula_sum 'Tb2 Pu1 Rh1 O8'
_symmetry_space_group_name_H-M 'P 1 2/m 1'
_symmetry_Int_Tables_number 10
_cell_length_a 5.0351
_cell_length_b 6.6903
_cell_length_c 5.0407
_cell_angle_alpha 90.00
_cell_angle_beta 91.87
_cell_angle_gamma 90.00
loop_
_symmetry_equiv_pos_as_xyz
'x,y,z'
'-x,-y,-z'
'-x,y,-z'
'x,-y,z'
loop_
_atom_site_label
_atom_site_type_symbol
_atom_site_fract_x
_atom_site_fract_y
_atom_site_fract_z
Tb1 Tb 0.0000 0.2413 0.0000
Pu1 Pu 0.5000 0.5000 0.5000
Rh1 Rh 0.5000 0.0000 0.5000
O1 O 0.2087 0.5000 0.2073
O2 O 0.2188 0.0000 0.2176
O3 O 0.3217 0.2482 0.6770
# **Uncorrected formation energy**: -2410 meV/atom
# **Crystal system**: monoclinic

(16)
# SrScBr (PBE, relaxed)
data_SrScBr
_chemical_formula_sum 'Sr1 Sc1 Br1'
_symmetry_space_group_name_H-M 'P 3 m 1'
_symmetry_Int_Tables_number 156
_cell_length_a 3.8255
_cell_length_b 3.8255
_cell_length_c 7.2486
_cell_angle_alpha 90.00
_cell_angle_beta 90.00
_cell_angle_gamma 120.00
loop_
_symmetry_equiv_pos_as_xyz
'x,y,z'
'-y,x-y,z'
'-x+y,-x,z'
'-y,-x,z'
'-x+y,y,z'
'x,x-y,z'
loop_
_atom_site_label
_atom_site_type_symbol
_atom_site_fract_x
_atom_site_fract_y
_atom_site_fract_z
Sr1 Sr 0.0000 0.0000 0.0000
Sc1 Sc 0.3333 0.6667 0.6155
Br1 Br 0.6667 0.3333 0.3435
# **Offset from the most stable computed form**: 0 meV/atom
# **Uncorrected formation energy**: -598 meV/atom
# **Crystal system**: trigonal

(17)
# Tl2HgCl (PBE, relaxed)
data_Tl2HgCl
_chemical_formula_sum 'Tl8 Hg4 Cl4'
_symmetry_space_group_name_H-M 'I -4 2 d'
_symmetry_Int_Tables_number 122
_symmetry_space_group_name_Hall 'I -4 2bw'
_cell_length_a 8.6823
_cell_length_b 8.6823
_cell_length_c 6.9812
_cell_angle_alpha 90.00
_cell_angle_beta 90.00
_cell_angle_gamma 90.00
loop_
_atom_site_label
_atom_site_type_symbol
_atom_site_fract_x
_atom_site_fract_y
_atom_site_fract_z
Tl1 Tl 0.2365 0.2500 0.1250
Hg1 Hg 0.0000 0.0000 0.5000
Cl1 Cl 0.0000 0.0000 0.0000
# **Offset from the most stable computed form**: 89 meV/atom
# **Uncorrected formation energy**: -358 meV/atom
# **Crystal system**: tetragonal

(18)
# ZrGaPd (PBE, relaxed)
data_ZrGaPd
_chemical_formula_sum 'Zr4 Ga4 Pd4'
_symmetry_space_group_name_H-M 'A e m 2'
_symmetry_Int_Tables_number 39
_cell_length_a 9.0488
_cell_length_b 5.0179
_cell_length_c 5.0180
_cell_angle_alpha 90.00
_cell_angle_beta 90.00
_cell_angle_gamma 90.00
loop_
_symmetry_equiv_pos_as_xyz
'x,y,z'
'-x,-y,z'
'-x,y+1/2,z'
'x,-y+1/2,z'
'x,y+1/2,z+1/2'
'-x,-y+1/2,z+1/2'
'-x,y,z+1/2'
'x,-y,z+1/2'
loop_
_atom_site_label
_atom_site_type_symbol
_atom_site_fract_x
_atom_site_fract_y
_atom_site_fract_z
Zr1 Zr 0.2316 0.2500 0.0000
Ga1 Ga 0.5000 0.0000 0.2510
Pd1 Pd 0.0880 0.2500 0.4999
# **Formation energy**: -0.339 eV per atom
# **Crystal system**: orthorhombic

(19)
# MnIn2Br (PBE, relaxed)
data_MnIn2Br
_chemical_formula_sum 'Mn1 In2 Br1'
_symmetry_space_group_name_H-M 'P 4/m m m'
_symmetry_Int_Tables_number 123
_symmetry_space_group_name_Hall '-P 4 2'
_cell_length_a 3.4310
_cell_length_b 3.4310
_cell_length_c 7.8562
_cell_angle_alpha 90.00
_cell_angle_beta 90.00
_cell_angle_gamma 90.00
loop_
_atom_site_label
_atom_site_type_symbol
_atom_site_fract_x
_atom_site_fract_y
_atom_site_fract_z
Mn1 Mn 0.0000 0.0000 0.0000
In1 In 0.5000 0.5000 0.2072
Br1 Br 0.0000 0.0000 0.5000
# **Offset from the most stable computed form**: 74 meV/atom
# **Uncorrected formation energy**: 82 meV/atom
# **Crystal system**: tetragonal

(20)
# Cs4CdO (PBE, relaxed)
data_Cs4CdO
_chemical_formula_sum 'Cs16 Cd4 O4'
_symmetry_space_group_name_H-M 'P n m a'
_symmetry_Int_Tables_number 62
_cell_length_a 14.1410
_cell_length_b 9.1287
_cell_length_c 12.3086
_cell_angle_alpha 90.00
_cell_angle_beta 90.00
_cell_angle_gamma 90.00
loop_
_symmetry_equiv_pos_as_xyz
'x,y,z'
'-x,-y,-z'
'-x+1/2,-y,z+1/2'
'x+1/2,y,-z+1/2'
'x+1/2,-y+1/2,-z+1/2'
'-x+1/2,y+1/2,z+1/2'
'-x,y+1/2,-z'
'x,-y+1/2,z'
loop_
_atom_site_label
_atom_site_type_symbol
_atom_site_fract_x
_atom_site_fract_y
_atom_site_fract_z
Cs1 Cs 0.0697 0.0144 0.1878
Cs2 Cs 0.0964 0.7500 0.5742
Cs3 Cs 0.2156 0.2500 0.4436
Cd1 Cd 0.1895 0.2500 0.8209
O1 O 0.0648 0.2500 0.3153
# **Uncorrected formation energy**: -478 meV/atom
# **Crystal system**: orthorhombic

no.,E_tot (eV per atom),calculated volume (Å³ per atom)
1,-6.1897,22.5
2,-8.3621,23.3
3,-3.8284,23.6
4,-3.4889,35.0
5,-5.4393,29.7
6,-7.7435,14.4
7,-1.9243,31.4
8,-3.6652,22.3
9,-4.5684,33.2
10,-7.2814,14.0
11,-7.8466,19.4
12,-4.4354,19.4
13,-8.5501,15.8
14,-7.9097,13.9
15,-8.2939,14.1
16,-3.8272,30.6
17,-2.0782,32.9
18,-5.9282,19.0
19,-3.9976,23.1
20,-2.0261,66.2